No. 1
Here is Pu4Ga5Co2 after structural relaxation from Alexandria via LeMat-Bulk. Energies are from PBE.

Computed properties:
ΔE_f: -0.20 eV per atom
DOS(E_F): 29.0 states/eV/f.u.

Structure (POSCAR):
```
Pu4Ga5Co2
1.0
7.2384 0.0000 0.0000
0.0000 3.0380 0.0000
-0.4675 0.0000 9.5324
Pu Ga Co
4 5 2
Direct
0.1509 0.0000 0.3798
0.2486 0.0000 0.9548
0.7514 0.0000 0.0452
0.8491 0.0000 0.6202
0.2090 0.5000 0.6728
0.4365 0.5000 0.2070
0.5000 0.5000 0.5000
0.5635 0.5000 0.7930
0.7910 0.5000 0.3272
0.0607 0.5000 0.1442
0.9393 0.5000 0.8558
```

No. 2
Here is Pu2Ga7Co after structural relaxation from Alexandria via LeMat-Bulk. Energies are from PBE.

Computed properties:
ΔE_f: -0.26 eV per atom
DOS(E_F): 22.1 states/eV/f.u.

Structure (POSCAR):
```
Pu2Ga7Co
1.0
4.1675 0.0000 0.0000
0.0000 4.1675 0.0000
0.0000 0.0000 10.6922
Pu Ga Co
2 7 1
Direct
0.0000 0.5000 0.2401
0.5000 0.0000 0.7599
0.0000 0.0000 0.0000
0.0000 0.0000 0.5000
0.0000 0.5000 0.6451
0.0000 0.5000 0.8743
0.5000 0.0000 0.1257
0.5000 0.0000 0.3549
0.5000 0.5000 0.5000
0.5000 0.5000 0.0000
```

No. 3
Here is PuGa2Co2 after structural relaxation from Alexandria via LeMat-Bulk. Energies are from PBE.

Computed properties:
ΔE_f: -0.24 eV per atom
ΔE to the lowest computed polymorph: 0.0 kJ/mol of atoms
DOS(E_F): 13.6 states/eV/f.u.

Structure (POSCAR):
```
PuGa2Co2
1.0
-2.0353 2.0353 9.8274
2.0353 -2.0353 9.8274
2.0353 2.0353 -9.8274
Pu Ga Co
2 4 4
Direct
0.1318 0.1318 0.0000
0.8682 0.8682 0.0000
0.0000 0.5000 0.5000
0.3130 0.3130 0.0000
0.5000 0.0000 0.5000
0.6870 0.6870 0.0000
0.2500 0.7500 0.5000
0.4341 0.4341 0.0000
0.5659 0.5659 0.0000
0.7500 0.2500 0.5000
```

No. 4
Here is PuGa2Co2 after structural relaxation from Alexandria via LeMat-Bulk. Energies are from PBE.

Computed properties:
ΔE_f: -0.19 eV per atom
ΔE to the lowest computed polymorph: 5.0 kJ/mol of atoms
DOS(E_F): 13.2 states/eV/f.u.

Structure (POSCAR):
```
PuGa2Co2
1.0
3.2406 -2.8538 0.0000
3.2406 2.8538 0.0000
0.0000 0.0000 8.9411
Pu Ga Co
2 4 4
Direct
0.1916 0.8084 0.7500
0.8084 0.1916 0.2500
0.3179 0.6821 0.1049
0.3179 0.6821 0.3951
0.6821 0.3179 0.6049
0.6821 0.3179 0.8951
0.1955 0.1955 0.0000
0.1955 0.1955 0.5000
0.8045 0.8045 0.0000
0.8045 0.8045 0.5000
```

No. 5
Here is Pu2Ga5Co after structural relaxation from Alexandria via LeMat-Bulk. Energies are from PBE.

Computed properties:
ΔE_f: -0.26 eV per atom
DOS(E_F): 21.5 states/eV/f.u.

Structure (POSCAR):
```
Pu2Ga5Co
1.0
2.1044 -8.1321 0.0000
2.1044 8.1321 0.0000
0.0000 0.0000 8.9849
Pu Ga Co
4 10 2
Direct
0.0000 0.0000 0.0000
0.0000 0.0000 0.5000
0.1892 0.8108 0.7500
0.8108 0.1892 0.2500
0.1926 0.8074 0.1073
0.1926 0.8074 0.3927
0.3587 0.6413 0.0244
0.3587 0.6413 0.4756
0.4175 0.5825 0.7500
0.5825 0.4175 0.2500
0.6413 0.3587 0.5244
0.6413 0.3587 0.9756
0.8074 0.1926 0.6073
0.8074 0.1926 0.8927
0.4365 0.5635 0.2500
0.5635 0.4365 0.7500
```

No. 6
Here is PuGa6Co6 after structural relaxation from Alexandria via LeMat-Bulk. Energies are from PBE.

Computed properties:
ΔE_f: -0.26 eV per atom
DOS(E_F): 25.1 states/eV/f.u.

Structure (POSCAR):
```
PuGa6Co6
1.0
-2.5145 4.1027 4.3252
2.5145 -4.1027 4.3252
2.5145 4.1027 -4.3252
Pu Ga Co
1 6 6
Direct
0.0000 0.0000 0.0000
0.1867 0.6867 0.5000
0.3414 0.0000 0.3414
0.3448 0.3448 0.0000
0.6552 0.6552 0.0000
0.6586 0.0000 0.6586
0.8133 0.3133 0.5000
0.0000 0.0000 0.5000
0.0000 0.5000 0.0000
0.2384 0.5000 0.7384
0.5000 0.0000 0.0000
0.5000 0.5000 0.5000
0.7616 0.5000 0.2616
```

No. 7
Here is Pu3Ga5Co2 after structural relaxation from Alexandria via LeMat-Bulk. Energies are from PBE.

Computed properties:
ΔE_f: -0.35 eV per atom
DOS(E_F): 23.0 states/eV/f.u.

Structure (POSCAR):
```
Pu3Ga5Co2
1.0
9.3190 0.0000 0.0000
0.0000 9.3190 0.0000
0.0000 0.0000 4.1719
Pu Ga Co
6 10 4
Direct
0.0000 0.0000 0.0000
0.1781 0.3219 0.0000
0.3219 0.8219 0.0000
0.5000 0.5000 0.0000
0.6781 0.1781 0.0000
0.8219 0.6781 0.0000
0.0000 0.5000 0.5000
0.0660 0.7768 0.5000
0.2232 0.0660 0.5000
0.2768 0.5660 0.5000
0.4340 0.2768 0.5000
0.5000 0.0000 0.5000
0.5660 0.7232 0.5000
0.7232 0.4340 0.5000
0.7768 0.9340 0.5000
0.9340 0.2232 0.5000
0.1182 0.6182 0.0000
0.3818 0.1182 0.0000
0.6182 0.8818 0.0000
0.8818 0.3818 0.0000
```

No. 8
Here is Pu3GaCo3 after structural relaxation from Alexandria via LeMat-Bulk. Energies are from PBE.

Computed properties:
ΔE_f: -0.14 eV per atom
DOS(E_F): 22.4 states/eV/f.u.

Structure (POSCAR):
```
Pu3GaCo3
1.0
2.1155 -4.6648 0.0000
2.1155 4.6648 0.0000
0.0000 0.0000 12.8189
Pu Ga Co
6 2 6
Direct
0.0093 0.9907 0.7500
0.2987 0.7013 0.6068
0.2987 0.7013 0.8932
0.7013 0.2987 0.1068
0.7013 0.2987 0.3932
0.9907 0.0093 0.2500
0.0000 0.0000 0.0000
0.0000 0.0000 0.5000
0.2841 0.7159 0.2500
0.4133 0.5867 0.0861
0.4133 0.5867 0.4139
0.5867 0.4133 0.5861
0.5867 0.4133 0.9139
0.7159 0.2841 0.7500
```